Entry 1:
BeInCl2 after structural relaxation. Source: Alexandria, functional PBE.

abc: 3.680 3.680 11.641
angles: 90.00 90.00 130.85
Fractional coordinates of all 4 atoms:
1 Be 0.500 0.500 0.750
2 Cl 0.000 0.000 0.875
3 Cl 0.000 0.000 0.625
4 In 0.500 0.500 0.250

Results
**V**: 29.8 Å³ per atom
**Energy above the lowest structure with this stoichiometry**: 115 meV/atom
**Raw formation energy**: -0.63 eV/atom
**Space group**: Cmmm
**Crystal system**: orthorhombic

=====

Entry 2:
NdCo2Si after structural relaxation. Source: Alexandria, functional PBE.

abc: 3.968 3.968 5.462
angles: 68.70 68.70 60.00
Fractional coordinates of all 4 atoms:
1 Co 0.804 0.804 0.587
2 Co 0.196 0.196 0.413
3 Si 0.500 0.500 0.500
4 Nd 0.000 0.000 0.000

Results
**V**: 16.9 Å³ per atom
**Energy above the lowest structure with this stoichiometry**: 0 meV/atom
**Raw formation energy**: -0.46 eV/atom
**Space group**: R-3m
**Crystal system**: trigonal

=====

Entry 3:
BeNbCu after structural relaxation. Source: Alexandria, functional PBE.

abc: 4.913 3.751 4.913
angles: 112.46 80.07 112.46
Fractional coordinates of all 6 atoms:
1 Be 0.807 0.572 0.901
2 Be 0.178 0.572 0.530
3 Nb 0.769 0.846 0.491
4 Nb 0.406 0.985 0.129
5 Cu 0.362 0.250 0.704
6 Cu 0.981 0.250 0.085

Results
**V**: 12.9 Å³ per atom
**Energy above the lowest structure with this stoichiometry**: 69 meV/atom
**DFT formation energy**: -0.013 eV per atom
**Space group**: Cm
**Crystal system**: monoclinic

=====

Entry 4:
DyAl7Fe5 after structural relaxation. Source: Alexandria, functional PBE.

abc: 6.601 6.601 6.601
angles: 135.35 98.39 98.21
Each line ends with the local moment (μB).
Fractional coordinates of all 13 atoms:
1 Dy 0.005 0.000 0.005  -0.18
2 Al 0.660 0.000 0.660  -0.03
3 Al 0.340 0.000 0.340  -0.02
4 Al 0.334 0.342 0.991  -0.03
5 Al 0.649 0.658 0.991  -0.03
6 Al 0.774 0.500 0.274  -0.02
7 Al 0.795 0.290 0.505  -0.03
8 Al 0.214 0.710 0.505  -0.03
9 Fe 0.499 0.498 0.496  1.64
10 Fe 0.499 0.003 0.001  1.64
11 Fe 0.998 0.997 0.496  1.64
12 Fe 0.998 0.502 0.001  1.64
13 Fe 0.235 0.500 0.735  2.18

Results
**V**: 14.4 Å³ per atom
**DFT formation energy**: -0.396 eV per atom
**Space group**: Imm2
**Crystal system**: orthorhombic

=====

Entry 5:
NbSi3Ni after structural relaxation. Source: Alexandria, functional PBE.

abc: 4.336 4.336 4.336
angles: 90.00 90.00 90.00
Fractional coordinates of all 5 atoms:
1 Ni 0.000 0.000 0.000
2 Nb 0.500 0.500 0.500
3 Si 0.000 0.500 0.000
4 Si 0.000 0.000 0.500
5 Si 0.500 0.000 0.000

Results
**V**: 16.3 Å³ per atom
**Raw formation energy**: 0.62 eV/atom
**Space group**: Pm-3m
**Crystal system**: cubic

=====

Entry 6:
NiAs2PSe after structural relaxation. Source: Alexandria, functional PBE.

abc: 4.650 4.650 4.840
angles: 90.00 90.00 90.00
Each line ends with the local moment (μB).
Fractional coordinates of all 5 atoms:
1 Ni 0.500 0.500 0.500  0.46
2 As 0.000 0.500 0.000  0.00
3 As 0.500 0.000 0.000  0.00
4 Se 0.000 0.000 0.500  0.03
5 P 0.000 0.000 0.000  0.00

Results
**V**: 20.9 Å³ per atom
**Energy above the lowest structure with this stoichiometry**: 305 meV/atom
**Raw formation energy**: 0.97 eV/atom
**Space group**: P4/mmm
**Crystal system**: tetragonal

=====

Entry 7:
Pm3Ag2Pt after structural relaxation. Source: Alexandria, functional PBE.

abc: 6.033 8.284 7.701
angles: 105.61 113.06 90.00
Fractional coordinates of all 12 atoms:
1 Pm 0.501 0.250 0.000
2 Pm 0.499 0.750 0.000
3 Pm 0.146 0.074 0.293
4 Pm 0.852 0.426 0.707
5 Pm 0.148 0.574 0.293
6 Pm 0.854 0.926 0.707
7 Ag 0.678 0.588 0.354
8 Ag 0.676 0.088 0.354
9 Ag 0.324 0.912 0.646
10 Ag 0.322 0.412 0.646
11 Pt 0.999 0.750 0.000
12 Pt 0.001 0.250 0.000

Results
**V**: 28.2 Å³ per atom
**Energy above the lowest structure with this stoichiometry**: 134 meV/atom
**DFT formation energy**: -0.425 eV per atom
**Space group**: C2/c
**Crystal system**: monoclinic

=====

Entry 8:
ZnSiBr2 after structural relaxation. Source: Alexandria, functional PBE.

abc: 3.330 3.330 8.699
angles: 90.00 90.00 90.00
Fractional coordinates of all 4 atoms:
1 Br 0.000 0.000 0.904
2 Br 0.500 0.500 0.333
3 Si 0.000 0.000 0.539
4 Zn 0.500 0.500 0.724

Results
**V**: 24.1 Å³ per atom
**Energy above the lowest structure with this stoichiometry**: 265 meV/atom
**Raw formation energy**: 0.10 eV/atom
**Space group**: P4mm
**Crystal system**: tetragonal